{
  "formula": "PrZnCu",
  "functional": "PBE-GGA",
  "state": "optimized geometry",
  "ef_ev_per_atom": -0.2671,
  "n_ef_per_ev_fu": 2.34,
  "volume_a3_per_atom": 21.293,
  "total_energy_ev_per_cell": -10.951,
  "lattice_angstrom": [[-1.369, 3.032, 1.635], [-1.388, -2.481, 3.437], [4.077, 1.810, 0.058]],
  "species": ["Pr", "Zn", "Cu"],
  "frac_coords": [[0.667, 0.333, 0.667], [0.167, 0.667, 0.333], [0.167, 0.000, 0.000]]
}

{
  "formula": "NaRhC2",
  "functional": "PBE-GGA",
  "state": "optimized geometry",
  "ef_ev_per_atom": 1.0634,
  "n_ef_per_ev_fu": 1.90,
  "volume_a3_per_atom": 16.941,
  "total_energy_ev_per_cell": -45.729,
  "lattice_angstrom": [[5.317, 0.000, 0.000], [0.000, 5.317, 0.000], [2.659, 2.659, 4.794]],
  "species": ["Na", "Na", "C", "C", "C", "C", "Rh", "Rh"],
  "frac_coords": [[0.500, 0.500, 0.000], [0.250, 0.750, 0.500], [0.756, 0.125, 0.250], [0.994, 0.625, 0.250], [0.375, 0.244, 0.750], [0.875, 0.006, 0.750], [0.000, 0.000, 0.000], [0.750, 0.250, 0.500]]
}

{
  "formula": "KCrCo3",
  "functional": "PBE-GGA",
  "state": "optimized geometry",
  "ef_ev_per_atom": 2.8366,
  "n_ef_per_ev_fu": 12.72,
  "volume_a3_per_atom": 16.228,
  "total_energy_ev_per_cell": -17.855,
  "polymorph_energy_kj_per_mol_atoms": 155.3,
  "lattice_angstrom": [[4.329, 0.000, 0.000], [0.000, 4.329, 0.000], [0.000, 0.000, 4.329]],
  "species": ["Cr", "K", "Co", "Co", "Co"],
  "frac_coords": [[0.500, 0.500, 0.500], [0.000, 0.000, 0.000], [0.000, 0.500, 0.000], [0.000, 0.000, 0.500], [0.500, 0.000, 0.000]]
}